A plane-wave DFT calculation with PBE was carried out for a geometry-optimized Tl2Ir2Pd structure.

Properties
final energy: -49.64 eV for the cell shown
calculated density: 15.63 g/cm³
space group: P6_3/mmc, No. 194

POSCAR file:
```
Tl2Ir2Pd
1.0
4.431 0.000 0.000
-2.216 3.837 0.000
0.000 0.000 11.243
Tl Ir Pd
4 4 2
Cartesian
0.000 2.558 1.163
0.000 2.558 4.458
2.216 1.279 6.784
2.216 1.279 10.080
0.000 0.000 0.000
0.000 0.000 5.621
0.000 2.558 8.432
2.216 1.279 2.811
0.000 0.000 2.811
0.000 0.000 8.432
```

A plane-wave DFT calculation with PBE was carried out for a geometry-optimized TlIrPd structure.

Properties
final energy: -14.41 eV for the cell shown
calculated density: 13.63 g/cm³
space group: F-43m, No. 216

POSCAR file:
```
TlIrPd
1.0
0.000 3.129 3.129
3.129 0.000 3.129
3.129 3.129 0.000
Tl Ir Pd
1 1 1
Cartesian
0.000 0.000 0.000
4.693 4.693 4.693
1.564 1.564 1.564
```

A plane-wave DFT calculation with PBE was carried out for a geometry-optimized UIrPd structure.

Properties
final energy: -25.29 eV for the cell shown
E above lowest polymorph: 4.22 kJ/mol of atoms
calculated density: 13.60 g/cm³
space group: F-43m, No. 216
DFT formation energy: 0.01 eV per atom

POSCAR file:
```
UIrPd
1.0
0.000 3.200 3.200
3.200 0.000 3.200
3.200 3.200 0.000
U Ir Pd
1 1 1
Cartesian
0.000 0.000 0.000
1.600 1.600 1.600
4.799 4.799 4.799
```

A plane-wave DFT calculation with PBE was carried out for a geometry-optimized UIrPd structure.

Properties
final energy: -25.42 eV for the cell shown
E above lowest polymorph: 0.00 kJ/mol of atoms
calculated density: 13.91 g/cm³
space group: F-43m, No. 216
DFT formation energy: -0.03 eV per atom

POSCAR file:
```
UIrPd
1.0
0.000 3.176 3.176
3.176 0.000 3.176
3.176 3.176 0.000
U Ir Pd
1 1 1
Cartesian
0.000 0.000 0.000
1.588 1.588 1.588
3.176 3.176 3.176
```

A plane-wave DFT calculation with PBE was carried out for a geometry-optimized Ir2PdW structure.

Properties
final energy: -73.21 eV for the cell shown
E above lowest polymorph: 0.25 kJ/mol of atoms
calculated density: 18.82 g/cm³
space group: Ama2, No. 40
DFT formation energy: -0.19 eV per atom

POSCAR file:
```
Ir2PdW
1.0
4.453 0.000 0.000
0.000 4.824 2.772
0.000 -4.824 2.772
Ir Pd W
4 2 2
Cartesian
1.113 -1.631 1.370
1.113 -4.059 2.772
3.340 1.631 1.370
3.340 4.059 2.772
1.113 0.809 2.797
3.340 -0.809 2.797
1.113 -1.637 4.159
3.340 1.637 4.159
```

A plane-wave DFT calculation with PBE was carried out for a geometry-optimized Ir2PdW structure.

Properties
final energy: -73.23 eV for the cell shown
E above lowest polymorph: 0.00 kJ/mol of atoms
calculated density: 18.84 g/cm³
space group: Amm2, No. 38
DFT formation energy: -0.19 eV per atom

POSCAR file:
```
Ir2PdW
1.0
4.449 0.000 0.000
0.000 2.768 4.828
0.000 -2.768 4.828
Ir Pd W
4 2 2
Cartesian
0.000 0.000 0.000
0.000 -1.373 7.200
0.000 1.373 7.200
2.225 0.000 6.399
2.225 -1.365 3.968
2.225 1.365 3.968
0.000 0.000 4.817
2.225 0.000 1.546
```

A plane-wave DFT calculation with PBE was carried out for a geometry-optimized Y2IrPd structure.

Properties
final energy: -30.42 eV for the cell shown
E above lowest polymorph: 1.75 kJ/mol of atoms
calculated density: 9.49 g/cm³
space group: P4/mmm, No. 123
DFT formation energy: -0.86 eV per atom

POSCAR file:
```
Y2IrPd
1.0
4.913 0.000 0.000
0.000 4.913 0.000
0.000 0.000 3.456
Y Ir Pd
2 1 1
Cartesian
0.000 2.456 0.000
2.456 0.000 0.000
0.000 0.000 1.728
2.456 2.456 1.728
```

A plane-wave DFT calculation with PBE was carried out for a geometry-optimized Y2IrPd structure.

Properties
final energy: -28.49 eV for the cell shown
E above lowest polymorph: 48.36 kJ/mol of atoms
calculated density: 10.04 g/cm³
space group: F-43m, No. 216
DFT formation energy: -0.38 eV per atom

POSCAR file:
```
Y2IrPd
1.0
0.000 3.403 3.403
3.403 0.000 3.403
3.403 3.403 0.000
Y Ir Pd
2 1 1
Cartesian
0.000 0.000 0.000
1.702 1.702 1.702
5.105 5.105 5.105
3.403 3.403 3.403
```